Entry from the Alexandria database: a PBEsol-optimized structure of LaCrAgO6 (SCAN).

The structure belongs to space group Pc (No. 7); the cell edges are 4.542, 7.283 and 8.553 Å and the angles 90.00°, 105.93° and 90.00°. The asymmetric unit holds La at (0.000, 0.101, 0.000), Cr at (0.962, 0.369, 0.356), Ag at (0.376, 0.282, 0.754), O at (0.043, 0.105, 0.716), O at (0.107, 0.347, 0.203), O at (0.258, 0.370, 0.522), O at (0.488, 0.180, 0.972), O at (0.747, 0.193, 0.360) and O at (0.776, 0.429, 0.839).

The calculation puts the formation energy without anion corrections at -16.8 eV per formula unit. The value obtained for the total energy is -16.340 eV per atom. As for the magnetization: 0.07 μB/f.u.